Computed, not measured: crystalline Gd2GaGe at its relaxed geometry at the PBE-GGA level of DFT.

```
Gd2GaGe
1.0
5.106 0.000 0.000
2.553 4.422 0.000
2.553 1.474 4.169
Ge Gd Ga
1 2 1
Direct
0.500 0.500 0.500 Ge
0.250 0.250 0.250 Gd
0.750 0.750 0.750 Gd
0.000 0.000 0.000 Ga
```

SG   No. 225
Calculated formation energy   -2.406 eV/f.u.
Raw total energy   -38.21 eV per cell


Computed, not measured: crystalline Gd2GaGe at its relaxed geometry at the PBE-GGA level of DFT.

```
Gd2GaGe
1.0
-1.597 -3.739 0.351
2.879 -1.556 -3.480
3.322 -1.114 3.247
Ge Gd Ga
1 2 1
Direct
0.500 0.500 0.500 Ge
0.000 0.000 0.500 Gd
0.000 0.500 0.000 Gd
0.500 0.000 0.000 Ga
```

SG   No. 123
Calculated formation energy   -2.523 eV/f.u.
Raw total energy   -38.33 eV per cell


Computed, not measured: crystalline GdGaGe2 at its relaxed geometry at the PBE-GGA level of DFT.

```
GdGaGe2
1.0
4.310 0.000 0.000
0.000 4.323 0.000
0.000 0.000 4.323
Ge Gd Ga
2 1 1
Direct
0.000 0.000 0.500 Ge
0.000 0.500 0.000 Ge
0.500 0.500 0.500 Gd
0.500 0.000 0.000 Ga
```

SG   No. 123
Calculated formation energy   -1.910 eV/f.u.
Raw total energy   -28.25 eV per cell


Computed, not measured: crystalline Gd2GaGe at its relaxed geometry at the PBE-GGA level of DFT.

```
Gd2GaGe
1.0
-0.418 -2.868 -2.567
3.032 -1.175 -2.101
2.749 -6.754 4.179
Ge Gd Ga
1 2 1
Direct
0.000 0.000 0.000 Ge
0.255 0.255 0.236 Gd
0.745 0.745 0.764 Gd
0.500 0.500 0.500 Ga
```

SG   No. 166
Calculated formation energy   -1.970 eV/f.u.
Raw total energy   -37.78 eV per cell